Record 1
The following is a DFT calculation (PBE) of an optimized crystal structure of Tb2PrDy2Er.

Computed properties:
Raw total energy   -26.165 eV per formula unit
Calculated volume   33.1 A^3/atom
Fermi-level density of states   1.635 states/eV per atom

Lattice parameters (Å, degrees): 6.530 17.859 3.408 90.00 90.00 90.00
Space group Pnnm (No. 58)
One atom of each set of equivalent atoms:
Tb 0.221 0.187 0.000 [4 per cell]
Pr 0.000 0.000 0.000 [2 per cell]
Dy 0.217 0.352 0.500 [4 per cell]
Er 0.000 0.500 0.000 [2 per cell]

Record 2
The following is a DFT calculation (PBE) of an optimized crystal structure of Tb2PrDy6Er.

Computed properties:
Raw total energy   -45.028 eV per formula unit
Calculated volume   32.4 A^3/atom
Fermi-level density of states   1.416 states/eV per atom

Lattice parameters (Å, degrees): 9.080 15.049 9.550 90.00 97.13 90.00
Space group C2/c (No. 15)
One atom of each set of equivalent atoms:
Tb 0.248 0.052 0.454 [8 per cell]
Pr 0.000 0.475 0.250 [4 per cell]
Dy 0.064 0.312 0.943 [8 per cell]
Dy 0.100 0.108 0.118 [8 per cell]
Dy 0.209 0.274 0.316 [8 per cell]
Er 0.000 0.090 0.750 [4 per cell]

Record 3
The following is a DFT calculation (PBE) of an optimized crystal structure of Tb6PrDy2Er3.

Computed properties:
Raw total energy   -55.248 eV per formula unit
Calculated volume   31.8 A^3/atom
Fermi-level density of states   1.276 states/eV per atom

Lattice parameters (Å, degrees): 6.160 10.660 11.786 90.00 99.97 90.00
Space group C2/m (No. 12)
One atom of each set of equivalent atoms:
Tb 0.248 0.167 0.247 [8 per cell]
Tb 0.249 0.500 0.247 [4 per cell]
Pr 0.000 0.500 0.500 [2 per cell]
Dy 0.000 0.167 0.500 [4 per cell]
Er 0.000 0.000 0.000 [2 per cell]
Er 0.000 0.333 0.000 [4 per cell]

Record 4
The following is a DFT calculation (PBE) of an optimized crystal structure of Tb4Pr2DyEr2.

Computed properties:
Raw total energy   -41.054 eV per formula unit
Calculated volume   32.7 A^3/atom
Fermi-level density of states   1.494 states/eV per atom

Lattice parameters (Å, degrees): 6.021 6.623 8.582 79.99 70.70 65.77
Space group P-1 (No. 2)
One atom of each set of equivalent atoms:
Tb 0.117 0.125 0.263 [2 per cell]
Tb 0.242 0.574 0.386 [2 per cell]
Pr 0.229 0.325 0.842 [2 per cell]
Dy 0.500 0.000 0.500 [1 per cell]
Er 0.324 0.769 0.944 [2 per cell]

Record 5
The following is a DFT calculation (PBE) of an optimized crystal structure of Tb6PrDy3Er2.

Computed properties:
Raw total energy   -55.301 eV per formula unit
Calculated volume   31.9 A^3/atom
Fermi-level density of states   1.247 states/eV per atom

Lattice parameters (Å, degrees): 6.164 10.667 11.805 90.00 99.96 90.00
Space group C2/m (No. 12)
One atom of each set of equivalent atoms:
Tb 0.249 0.167 0.249 [8 per cell]
Tb 0.250 0.000 0.751 [4 per cell]
Pr 0.000 0.500 0.500 [2 per cell]
Dy 0.000 0.000 0.000 [2 per cell]
Dy 0.000 0.333 0.000 [4 per cell]
Er 0.000 0.167 0.500 [4 per cell]

Record 6
The following is a DFT calculation (PBE) of an optimized crystal structure of Tb3Pr2DyEr6.

Computed properties:
Raw total energy   -55.204 eV per formula unit
Calculated volume   31.7 A^3/atom
Fermi-level density of states   1.240 states/eV per atom

Lattice parameters (Å, degrees): 6.168 10.675 11.742 90.00 100.04 90.00
Space group C2/m (No. 12)
One atom of each set of equivalent atoms:
Tb 0.000 0.000 0.000 [2 per cell]
Tb 0.000 0.333 0.000 [4 per cell]
Pr 0.000 0.167 0.500 [4 per cell]
Dy 0.000 0.500 0.500 [2 per cell]
Er 0.248 0.500 0.247 [4 per cell]
Er 0.249 0.166 0.247 [8 per cell]

Record 7
The following is a DFT calculation (PBE) of an optimized crystal structure of Tb3PrDy6Er2.

Computed properties:
Raw total energy   -55.211 eV per formula unit
Calculated volume   31.7 A^3/atom
Fermi-level density of states   1.258 states/eV per atom

Lattice parameters (Å, degrees): 6.156 10.651 11.783 90.00 99.98 90.00
Space group C2/m (No. 12)
One atom of each set of equivalent atoms:
Tb 0.000 0.000 0.000 [2 per cell]
Tb 0.000 0.333 0.000 [4 per cell]
Pr 0.000 0.500 0.500 [2 per cell]
Dy 0.249 0.000 0.751 [4 per cell]
Dy 0.249 0.167 0.249 [8 per cell]
Er 0.000 0.167 0.500 [4 per cell]

Record 8
The following is a DFT calculation (PBE) of an optimized crystal structure of TbPr4Dy2Er.

Computed properties:
Raw total energy   -37.386 eV per formula unit
Calculated volume   33.7 A^3/atom
Fermi-level density of states   1.297 states/eV per atom

Lattice parameters (Å, degrees): 5.153 5.182 10.083 90.00 90.00 90.00
Space group Pmmm (No. 47)
One atom of each set of equivalent atoms:
Tb 0.000 0.000 0.000 [1 per cell]
Pr 0.000 0.500 0.251 [2 per cell]
Pr 0.500 0.000 0.251 [2 per cell]
Dy 0.000 0.000 0.500 [1 per cell]
Dy 0.500 0.500 0.000 [1 per cell]
Er 0.500 0.500 0.500 [1 per cell]

Record 9
The following is a DFT calculation (PBE) of an optimized crystal structure of Tb6PrDyEr2.

Computed properties:
Raw total energy   -45.054 eV per formula unit
Calculated volume   32.5 A^3/atom
Fermi-level density of states   1.498 states/eV per atom

Lattice parameters (Å, degrees): 9.095 14.999 9.633 90.00 98.07 90.00
Space group C2/c (No. 15)
One atom of each set of equivalent atoms:
Tb 0.065 0.183 0.444 [8 per cell]
Tb 0.101 0.394 0.621 [8 per cell]
Tb 0.201 0.227 0.818 [8 per cell]
Pr 0.000 0.406 0.250 [4 per cell]
Dy 0.000 0.025 0.750 [4 per cell]
Er 0.244 0.051 0.045 [8 per cell]

Record 10
The following is a DFT calculation (PBE) of an optimized crystal structure of Tb6Pr3Dy2Er.

Computed properties:
Raw total energy   -55.667 eV per formula unit
Calculated volume   32.7 A^3/atom
Fermi-level density of states   1.337 states/eV per atom

Lattice parameters (Å, degrees): 6.226 10.781 11.890 90.00 100.03 90.00
Space group C2/m (No. 12)
One atom of each set of equivalent atoms:
Tb 0.248 0.167 0.245 [8 per cell]
Tb 0.249 0.500 0.245 [4 per cell]
Pr 0.000 0.167 0.500 [4 per cell]
Pr 0.000 0.500 0.500 [2 per cell]
Dy 0.000 0.333 0.000 [4 per cell]
Er 0.000 0.000 0.000 [2 per cell]

Repeat the ninth record exactly.
The following is a DFT calculation (PBE) of an optimized crystal structure of Tb6PrDyEr2.

Computed properties:
Raw total energy   -45.054 eV per formula unit
Calculated volume   32.5 A^3/atom
Fermi-level density of states   1.498 states/eV per atom

Lattice parameters (Å, degrees): 9.095 14.999 9.633 90.00 98.07 90.00
Space group C2/c (No. 15)
One atom of each set of equivalent atoms:
Tb 0.065 0.183 0.444 [8 per cell]
Tb 0.101 0.394 0.621 [8 per cell]
Tb 0.201 0.227 0.818 [8 per cell]
Pr 0.000 0.406 0.250 [4 per cell]
Dy 0.000 0.025 0.750 [4 per cell]
Er 0.244 0.051 0.045 [8 per cell]

> Among the records above, which one has the highest Fermi-level density of states?

Tb2PrDy2Er

> Number 3 is which compound?

Tb6PrDy2Er3